The following is a GGA-PBE calculation of an optimized crystal structure of Nb3NiSe6, from Alexandria via LeMat-Bulk.

Properties
SG ... P6_322
Formation energy without anion corrections ... -0.7743 eV/atom
Distance to the lowest polymorph of the same formula ... 0 meV per atom
Density of states at the Fermi level ... 0.748 states/eV/atom

```
Nb3NiSe6
1.0
6.067 0.000 0.000
-3.033 5.254 0.000
0.000 0.000 12.528
Se Nb Ni
12 6 2
direct
0.666 0.671 0.866
0.666 0.995 0.634
0.671 0.005 0.366
0.334 0.329 0.366
0.334 0.005 0.134
0.329 0.334 0.634
0.329 0.995 0.866
0.995 0.666 0.366
0.005 0.334 0.866
0.005 0.671 0.634
0.671 0.666 0.134
0.995 0.329 0.134
0.000 0.000 0.500
0.333 0.667 0.001
0.667 0.333 0.501
0.000 0.000 0.000
0.333 0.667 0.499
0.667 0.333 0.999
0.333 0.667 0.250
0.667 0.333 0.750
```

The following is a GGA-PBE calculation of an optimized crystal structure of Sr2NbNiSe, from Alexandria via LeMat-Bulk.

Properties
SG ... P4/mmm
Formation energy without anion corrections ... 0.0491 eV/atom
Density of states at the Fermi level ... 0.892 states/eV/atom

```
Sr2NbNiSe
1.0
-3.461 4.125 2.034
-2.087 0.246 -4.049
-3.771 -4.003 1.701
Sr Nb Ni Se
2 1 1 1
direct
0.500 0.000 0.000
0.000 0.000 0.500
0.000 0.500 0.000
0.000 0.000 0.000
0.500 0.500 0.500
```

The following is a GGA-PBE calculation of an optimized crystal structure of Nb2Tl2NiSe6, from Alexandria via LeMat-Bulk.

Properties
SG ... C2/m
Formation energy without anion corrections ... -0.5070 eV/atom
Density of states at the Fermi level ... 0.445 states/eV/atom

```
Nb2Tl2NiSe6
1.0
-4.398 2.313 4.011
-1.250 -5.167 -3.538
5.057 -3.484 5.560
Tl Se Nb Ni
2 6 2 1
direct
0.843 0.157 0.000
0.157 0.843 0.000
0.262 0.262 0.334
0.409 0.096 0.701
0.738 0.738 0.666
0.591 0.904 0.299
0.096 0.409 0.701
0.904 0.591 0.299
0.308 0.692 0.500
0.692 0.308 0.500
0.000 0.000 0.500
```

The following is a GGA-PBE calculation of an optimized crystal structure of Nb2VNiSe, from Alexandria via LeMat-Bulk.

Properties
SG ... P4/mmm
Formation energy without anion corrections ... 0.9533 eV/atom
Density of states at the Fermi level ... 1.604 states/eV/atom

```
Nb2VNiSe
1.0
-2.685 -3.764 0.889
1.712 -2.014 -3.356
3.376 -1.753 2.775
Nb Ni V Se
2 1 1 1
direct
0.000 0.000 0.500
0.500 0.000 0.000
0.000 0.500 0.000
0.000 0.000 0.000
0.500 0.500 0.500
```